1.
A relaxed PmMg2Cu crystal. Source: the Alexandria database, functional GGA-PBE.

Cell lengths 4.9524, 4.9524, 4.9524 Å; angles 60.00, 60.00, 60.00 degrees
Last column: nearest neighbours and their distance in Å.
Sites, in units of the cell vectors:
Mg (0.2500, 0.2500, 0.2500)  4 Cu 3.03, 4 Pm 3.03
Mg (0.7500, 0.7500, 0.7500)  4 Pm 3.03, 4 Cu 3.03
Cu (0.0000, 0.0000, 0.0000)  8 Mg 3.03
Pm (0.5000, 0.5000, 0.5000)  8 Mg 3.03

Its space group is Fm-3m (225). As for the offset from the most stable computed form: 212 meV per atom. The energy of formation is 0.0351 eV per atom.

---

2.
A relaxed Rb3Ho3CrTe8 crystal. Source: the Alexandria database, functional GGA-PBE.

Cell lengths 8.6254, 8.6268, 10.2050 Å; angles 115.02, 90.00, 119.99 degrees
Last column: nearest neighbours and their distance in Å.
Sites, in units of the cell vectors:
Rb (0.0000, 0.0000, 0.0000)  6 Te 3.64-3.68
Rb (0.0000, 0.5000, 0.0000)  6 Te 3.65-3.69
Rb (0.5000, 0.5000, 0.0000)  6 Te 3.65-3.69
Ho (0.5000, 0.0000, 0.5000)  6 Te 3.07
Ho (0.5000, 0.5000, 0.5000)  6 Te 3.07-3.08
Ho (0.0000, 0.5000, 0.5000)  6 Te 3.07-3.08
Cr (0.0000, 0.0000, 0.5000)  6 Te 2.84
Te (0.2663, 0.5325, 0.2989)  3 Ho 3.07
Te (0.7337, 0.4675, 0.7011)  3 Ho 3.07
Te (0.7838, 0.5676, 0.3139)  1 Cr 2.84, 2 Ho 3.07
Te (0.2162, 0.4324, 0.6861)  1 Cr 2.84, 2 Ho 3.07
Te (0.7838, 0.0298, 0.3138)  1 Cr 2.84, 2 Ho 3.07-3.08
Te (0.2162, 0.9702, 0.6862)  1 Cr 2.84, 2 Ho 3.07-3.08
Te (0.2460, 0.0298, 0.3138)  1 Cr 2.84, 2 Ho 3.07-3.08
Te (0.7540, 0.9702, 0.6862)  1 Cr 2.84, 2 Ho 3.07-3.08

Its space group is R-3m (166). The final energy is -4.502 eV per atom.

---

3.
A relaxed Th6TlAs3P2 crystal. Source: the Alexandria database, functional GGA-PBE.

Cell lengths 4.2233, 8.6203, 9.5268 Å; angles 102.79, 102.81, 90.00 degrees
Last column: nearest neighbours and their distance in Å.
Sites, in units of the cell vectors:
Th (0.3270, 0.9028, 0.6539)  3 As 2.96-3.08, 2 P 2.96, 1 Tl 3.13
Th (0.6690, 0.5779, 0.3381)  3 P 2.94-2.96, 3 As 3.06-3.07
Th (0.6730, 0.0972, 0.3461)  3 As 2.96-3.08, 2 P 2.96, 1 Tl 3.13
Th (0.0051, 0.2674, 0.0102)  3 As 2.93-3.05, 1 P 2.96, 2 Tl 3.11
Th (0.9949, 0.7326, 0.9898)  3 As 2.93-3.05, 1 P 2.96, 2 Tl 3.11
Th (0.3310, 0.4221, 0.6619)  3 P 2.94-2.96, 3 As 3.06-3.07
Tl (0.5000, 0.0000, 0.0000)  6 Th 3.11-3.13
As (0.5000, 0.5000, 0.0000)  6 Th 2.93-3.06
As (0.8367, 0.1667, 0.6733)  6 Th 2.96-3.08
As (0.1633, 0.8333, 0.3267)  6 Th 2.96-3.08
P (0.8313, 0.6637, 0.6626)  6 Th 2.94-2.96
P (0.1687, 0.3363, 0.3374)  6 Th 2.94-2.96

Its space group is C2/m (12). The energy of formation is -1.1644 eV per atom.

---

4.
A relaxed Tc2NiS crystal. Source: the Alexandria database, functional GGA-PBE.

Cell lengths 5.2491, 5.2491, 6.4081 Å; angles 65.82, 65.82, 90.00 degrees
Last column: nearest neighbours and their distance in Å.
Sites, in units of the cell vectors:
Ni (0.0000, 0.0000, 0.0000)  4 Tc 2.31
Ni (0.7500, 0.2500, 0.5000)  4 Tc 2.31
S (0.5000, 0.5000, 0.0000)  4 Tc 2.23
S (0.2500, 0.7500, 0.5000)  4 Tc 2.23
Tc (0.6121, 0.1250, 0.2500)  2 S 2.23, 2 Ni 2.31
Tc (0.1379, 0.6250, 0.2500)  2 S 2.23, 2 Ni 2.31
Tc (0.3750, 0.3879, 0.7500)  2 S 2.23, 2 Ni 2.31
Tc (0.8750, 0.8621, 0.7500)  2 S 2.23, 2 Ni 2.31

Its space group is I-42d (122). The final energy is -6.996 eV per atom.

---

5.
A relaxed CeYGe crystal. Source: the Alexandria database, functional GGA-PBE.

Cell lengths 4.7373, 4.7373, 9.2675 Å; angles 67.02, 67.02, 63.37 degrees
Last column: nearest neighbours and their distance in Å.
Sites, in units of the cell vectors:
Ce (0.7140, 0.7140, 0.0897)  2 Ce 2.90, 4 Ge 3.06-3.14
Ce (0.2860, 0.2860, 0.9103)  2 Ce 2.90, 4 Ge 3.06-3.14
Y (0.7580, 0.7580, 0.6289)  4 Ge 2.89-3.04
Y (0.2420, 0.2420, 0.3711)  4 Ge 2.89-3.04
Ge (0.0383, 0.0383, 0.7405)  4 Y 2.89-3.04, 4 Ce 3.06-3.14
Ge (0.9617, 0.9617, 0.2595)  4 Y 2.89-3.04, 4 Ce 3.06-3.14

Its space group is C2/m (12). The energy of formation is -0.4820 eV per atom.

---

6.
A relaxed CaDyHg4 crystal. Source: the Alexandria database, functional GGA-PBE.

Cell lengths 5.9884, 5.9884, 5.9884 Å; angles 60.00, 60.00, 60.00 degrees
Last column: nearest neighbours and their distance in Å.
Sites, in units of the cell vectors:
Ca (0.2500, 0.2500, 0.2500)  12 Hg 3.51, 4 Dy 3.67
Hg (0.6252, 0.6252, 0.1244)  6 Hg 2.99-3.00
Hg (0.6252, 0.1244, 0.6252)  6 Hg 2.99-3.00
Hg (0.6252, 0.6252, 0.6252)  6 Hg 2.99-3.00
Hg (0.1244, 0.6252, 0.6252)  6 Hg 2.99-3.00
Dy (0.0000, 0.0000, 0.0000)  12 Hg 3.51, 4 Ca 3.67

Its space group is F-43m (216). As for the offset from the most stable computed form: 193 meV per atom. The energy of formation is -0.2239 eV per atom.

---

Q: Number 4 is which compound?
A: Tc2NiS

---

Q: What is the formula in the fifth record?
A: CeYGe